LaTmInRh | Alexandria | PBE-GGA | optimized geometry; total magnetic moment = 0.000 μB per atom; theoretical density = 8.8 Mg/m³; energy of formation from the pure elements = -2.0 eV per formula unit; V = 24.87 A^3/atom
1.0
5.201 0.000 0.000
2.601 4.504 0.000
2.601 1.501 4.247
Rh Tm In La
1 1 1 1
Direct
0.000 0.000 0.000 Rh
0.750 0.750 0.750 Tm
0.500 0.500 0.500 In
0.250 0.250 0.250 La